(1)
DFT (PBE) results for an optimized crystal structure of Mn3BiCl.

Results
E_form (uncorrected) = 0.650 eV/atom

Cell lengths 4.583, 4.583, 4.583 Å; angles 90.00, 90.00, 90.00 degrees
Fractional positions:
Mn1 0.000 0.000 0.500
Mn2 0.000 0.500 0.000
Mn3 0.500 0.000 0.000
Bi1 0.500 0.500 0.500
Cl1 0.000 0.000 0.000



(2)
DFT (PBE) results for an optimized crystal structure of MgSc2Be.

Results
formation energy = 0.154 eV per atom

Cell lengths 9.329, 9.329, 9.329 Å; angles 20.06, 20.06, 20.06 degrees
Fractional positions:
Mg1 0.000 0.000 0.000
Sc1 0.236 0.236 0.236
Sc2 0.764 0.764 0.764
Be1 0.500 0.500 0.500



(3)
DFT (PBE) results for an optimized crystal structure of LaPu4N6.

Results
E_form (uncorrected) = -1.231 eV/atom

Cell lengths 6.013, 6.013, 16.945 Å; angles 90.00, 90.00, 146.56 degrees
Fractional positions:
La1 0.156 0.844 0.750
La2 0.844 0.156 0.250
Pu1 0.100 0.900 0.137
Pu2 0.100 0.900 0.363
Pu3 0.365 0.635 0.045
Pu4 0.365 0.635 0.455
Pu5 0.635 0.365 0.545
Pu6 0.635 0.365 0.955
Pu7 0.900 0.100 0.637
Pu8 0.900 0.100 0.863
N1 0.000 0.000 0.000
N2 0.000 0.000 0.500
N3 0.196 0.804 0.250
N4 0.274 0.726 0.581
N5 0.274 0.726 0.919
N6 0.467 0.533 0.154
N7 0.467 0.533 0.346
N8 0.533 0.467 0.654
N9 0.533 0.467 0.846
N10 0.726 0.274 0.081
N11 0.726 0.274 0.419
N12 0.804 0.196 0.750



(4)
DFT (PBE) results for an optimized crystal structure of ScPPt2.

Results
formation energy = -0.561 eV per atom

Cell lengths 4.524, 4.524, 4.524 Å; angles 60.00, 60.00, 60.00 degrees
Fractional positions:
Sc1 0.000 0.000 0.000
P1 0.750 0.750 0.750
Pt1 0.250 0.250 0.250
Pt2 0.500 0.500 0.500



(5)
DFT (PBE) results for an optimized crystal structure of TaPd12Pt7.

Results
formation energy = 0.063 eV per atom

Cell lengths 7.652, 7.652, 7.652 Å; angles 110.32, 110.32, 110.32 degrees
Fractional positions:
Ta1 0.000 0.000 0.000
Pd1 0.074 0.778 0.321
Pd2 0.178 0.559 0.502
Pd3 0.222 0.679 0.926
Pd4 0.321 0.074 0.778
Pd5 0.441 0.498 0.822
Pd6 0.498 0.822 0.441
Pd7 0.502 0.178 0.559
Pd8 0.559 0.502 0.178
Pd9 0.679 0.926 0.222
Pd10 0.778 0.321 0.074
Pd11 0.822 0.441 0.498
Pd12 0.926 0.222 0.679
Pt1 0.105 0.155 0.406
Pt2 0.155 0.406 0.105
Pt3 0.406 0.105 0.155
Pt4 0.500 0.500 0.500
Pt5 0.594 0.895 0.845
Pt6 0.845 0.594 0.895
Pt7 0.895 0.845 0.594



(6)
DFT (PBE) results for an optimized crystal structure of ReAsSe.

Results
E_form (uncorrected) = 0.295 eV/atom

Cell lengths 9.511, 9.511, 12.777 Å; angles 132.00, 132.00, 30.99 degrees
Fractional positions:
Re1 0.029 0.208 0.313
Re2 0.060 0.940 0.500
Re3 0.070 0.512 0.047
Re4 0.208 0.029 0.813
Re5 0.512 0.070 0.547
Re6 0.940 0.060 0.000
As1 0.024 0.547 0.540
As2 0.075 0.796 0.089
As3 0.506 0.743 0.336
As4 0.547 0.024 0.040
As5 0.743 0.506 0.836
As6 0.796 0.075 0.589
Se1 0.176 0.557 0.299
Se2 0.267 0.796 0.895
Se3 0.446 0.860 0.675
Se4 0.557 0.176 0.799
Se5 0.796 0.267 0.395
Se6 0.860 0.446 0.175



(7)
DFT (PBE) results for an optimized crystal structure of CeEuS2.

Results
E_form (uncorrected) = -2.059 eV/atom

Cell lengths 7.142, 7.142, 7.142 Å; angles 33.12, 33.12, 33.12 degrees
Fractional positions:
Ce1 0.000 0.000 0.000
Eu1 0.500 0.500 0.500
S1 0.251 0.251 0.251
S2 0.749 0.749 0.749



(8)
DFT (PBE) results for an optimized crystal structure of Cs2SnHg10.

Results
formation energy = -0.111 eV per atom

Cell lengths 10.861, 12.613, 7.058 Å; angles 90.00, 90.00, 90.00 degrees
Fractional positions:
Cs1 0.248 0.062 0.000
Cs2 0.252 0.562 0.000
Cs3 0.748 0.438 0.000
Cs4 0.752 0.938 0.000
Sn1 0.000 0.500 0.500
Sn2 0.500 0.000 0.500
Hg1 0.042 0.126 0.500
Hg2 0.061 0.313 0.212
Hg3 0.061 0.313 0.788
Hg4 0.185 0.696 0.500
Hg5 0.229 0.936 0.500
Hg6 0.271 0.436 0.500
Hg7 0.315 0.196 0.500
Hg8 0.439 0.813 0.212
Hg9 0.439 0.813 0.788
Hg10 0.458 0.626 0.500
Hg11 0.542 0.374 0.500
Hg12 0.561 0.187 0.212
Hg13 0.561 0.187 0.788
Hg14 0.685 0.804 0.500
Hg15 0.729 0.564 0.500
Hg16 0.771 0.064 0.500
Hg17 0.815 0.304 0.500
Hg18 0.939 0.687 0.212
Hg19 0.939 0.687 0.788
Hg20 0.958 0.874 0.500



(9)
DFT (PBE) results for an optimized crystal structure of TmPaTe2Se.

Results
E_form (uncorrected) = -1.100 eV/atom

Cell lengths 4.346, 4.346, 14.762 Å; angles 90.00, 90.00, 90.00 degrees
Fractional positions:
Tm1 0.250 0.250 0.085
Tm2 0.750 0.750 0.915
Pa1 0.250 0.250 0.631
Pa2 0.750 0.750 0.369
Te1 0.250 0.250 0.293
Te2 0.250 0.250 0.878
Te3 0.750 0.750 0.122
Te4 0.750 0.750 0.707
Se1 0.250 0.750 0.500
Se2 0.750 0.250 0.500



(10)
DFT (PBE) results for an optimized crystal structure of Y8Er5In.

Results
formation energy = 0.125 eV per atom

Cell lengths 8.486, 8.486, 8.486 Å; angles 103.89, 103.89, 121.32 degrees
Fractional positions:
Y1 0.168 0.328 0.839
Y2 0.208 0.209 0.417
Y3 0.209 0.792 0.001
Y4 0.489 0.329 0.161
Y5 0.671 0.832 0.161
Y6 0.672 0.511 0.839
Y7 0.791 0.208 0.999
Y8 0.792 0.791 0.583
Er1 0.340 0.032 0.692
Er2 0.340 0.648 0.308
Er3 0.352 0.660 0.692
Er4 0.750 0.250 0.500
Er5 0.968 0.660 0.308
In1 0.000 0.000 0.000



(11)
DFT (PBE) results for an optimized crystal structure of CeSbHIr.

Cell lengths 4.556, 4.556, 3.930 Å; angles 90.00, 90.00, 120.00 degrees
Fractional positions:
Ce1 0.000 0.000 0.000
Sb1 0.333 0.667 0.519
H1 0.667 0.333 0.991
Ir1 0.667 0.333 0.443



(12)
DFT (PBE) results for an optimized crystal structure of Pm8Dy2Cd.

Results
formation energy = -0.016 eV per atom

Cell lengths 6.238, 6.238, 12.716 Å; angles 102.95, 102.95, 48.19 degrees
Fractional positions:
Pm1 0.037 0.037 0.323
Pm2 0.140 0.140 0.953
Pm3 0.245 0.245 0.588
Pm4 0.410 0.410 0.860
Pm5 0.590 0.590 0.140
Pm6 0.755 0.755 0.412
Pm7 0.860 0.860 0.047
Pm8 0.963 0.963 0.677
Dy1 0.315 0.315 0.238
Dy2 0.685 0.685 0.762
Cd1 0.500 0.500 0.500



DFT total energy, respectively: -6.00; -4.34; -11.43; -6.52; -5.76; -6.57; -8.17; -0.78; -5.85; -5.39; -6.32; -4.39 eV per atom.